GGA+U NaTiFeO4, optimized geometry; relative energy among the computed polymorphs = 0.227 eV per atom
1.0
-0.3311 -0.9800 -2.7664
-7.5397 -4.4041 2.4626
-6.1672 9.1569 -2.5059
Fe O Na Ti
4 16 4 4
Cartesian
-7.7766 2.6756 -2.3820
-0.7888 0.7710 -0.9670
-6.2614 1.0972 -0.4276
-13.2492 3.0018 -1.8426
-6.8042 -0.5564 -1.3534
-5.2961 -2.0629 0.5764
-11.7946 3.3016 -0.5463
-7.2338 4.3293 -1.4562
-7.9064 -1.8643 0.8185
-7.1907 -4.2795 0.0118
-6.0107 1.7679 -2.2718
-2.2434 0.4713 -2.2634
-8.0273 2.0049 -0.5378
-3.4235 2.9560 -1.4258
-4.3678 0.6811 -0.5068
-6.1316 5.6371 -3.6281
-9.6703 3.0917 -2.3028
-8.7419 5.8358 -3.3860
-6.8473 8.0523 -2.8214
-10.6146 0.8168 -1.3838
-9.3332 -1.0044 -0.8920
-10.2606 5.2268 -1.4119
-3.7774 -1.4540 -1.3977
-4.7048 4.7772 -1.9176
-6.6860 -2.3315 -0.7387
-10.1301 2.4297 -0.4366
-3.9080 1.3431 -2.3730
-7.3520 6.1044 -2.0709